# 1
DFT (PBE) results for crystalline HfMnHgTe2 at its relaxed geometry.

a b c (Å): 5.590 5.334 5.590
angles (deg): 90.00 90.00 90.00
Last column: magnetic moment on the atom in μB.
Atoms (fractional coordinates):
Te (0.000, 0.000, 0.500)  -0.01
Te (0.500, 0.000, 0.000)  0.01
Hf (0.000, 0.500, 0.000)  -0.66
Hg (0.000, 0.000, 0.000)  -0.01
Mn (0.500, 0.500, 0.500)  4.42

Results
For the calculated density, the calculation gives 6867 kg/m³. Its crystal system is tetragonal. The calculated total energy is -19.78 eV for the cell shown. As for the formation energy without anion corrections: 1.186 eV per atom. The total magnetization is 3.78 μB/f.u. Its volume is 166.7 Å³ per cell.

# 2
DFT (PBE) results for crystalline TaBe2Tl at its relaxed geometry.

a b c (Å): 4.026 4.026 3.612
angles (deg): 90.00 90.00 90.00
Atoms (fractional coordinates):
Be (0.000, 0.000, 0.000)
Be (0.500, 0.500, 0.000)
Ta (0.500, 0.000, 0.500)
Tl (0.000, 0.500, 0.500)

Results
For the calculated density, the calculation gives 11442 kg/m³. Its crystal system is tetragonal. The value obtained for the offset from the most stable computed form is 32.7 meV per atom. The calculated total energy is -20.11 eV for the cell shown. The total magnetization is 0.00 μB/f.u. For the calculated formation energy, the calculation gives 0.389 eV/atom. Its volume is 58.5 Å³ per cell.

# 3
DFT (PBE) results for crystalline NpScAu2 at its relaxed geometry.

a b c (Å): 3.290 3.290 7.807
angles (deg): 90.00 90.00 90.00
Last column: magnetic moment on the atom in μB.
Atoms (fractional coordinates):
Sc (0.500, 0.500, 0.000)  0.02
Np (0.500, 0.500, 0.500)  4.19
Au (0.000, 0.000, 0.782)  0.03
Au (0.000, 0.000, 0.218)  0.03

Results
For the calculated density, the calculation gives 13285 kg/m³. Its crystal system is tetragonal. The value obtained for the offset from the most stable computed form is 0.0 meV per atom. The calculated total energy is -27.47 eV for the cell shown. The total magnetization is 4.64 μB/f.u. For the calculated formation energy, the calculation gives -0.410 eV/atom. Its volume is 84.5 Å³ per cell.

# 4
DFT (PBE) results for crystalline K3RuF6 at its relaxed geometry.

a b c (Å): 6.689 6.689 6.692
angles (deg): 76.82 76.82 103.37
Last column: magnetic moment on the atom in μB.
Atoms (fractional coordinates):
K (0.500, 0.000, 0.000)  0.00
K (0.000, 0.000, 0.500)  0.00
K (0.000, 0.500, 0.000)  0.00
F (0.064, 0.778, 0.222)  0.02
F (0.778, 0.064, 0.222)  0.02
F (0.223, 0.223, 0.063)  0.02
F (0.777, 0.777, 0.937)  0.02
F (0.936, 0.222, 0.778)  0.02
F (0.222, 0.936, 0.778)  0.02
Ru (0.000, 0.000, 0.000)  0.85

Results
For the calculated density, the calculation gives 2037 kg/m³. Its crystal system is monoclinic. The calculated total energy is -46.98 eV for the cell shown. As for the formation energy without anion corrections: -2.318 eV per atom. The total magnetization is 1.01 μB/f.u. Its volume is 270.9 Å³ per cell.

# 5
DFT (PBE) results for crystalline TlH5Pt at its relaxed geometry.

a b c (Å): 5.230 5.336 8.264
angles (deg): 67.02 86.80 69.18
Atoms (fractional coordinates):
H (0.408, 0.042, 0.015)
H (0.345, 0.994, 0.941)
H (0.216, 0.279, 0.573)
H (0.602, 0.273, 0.673)
H (0.633, 0.644, 0.420)
H (0.230, 0.739, 0.285)
H (0.630, 0.232, 0.412)
H (0.949, 0.944, 0.952)
H (0.245, 0.714, 0.566)
H (0.764, 0.133, 0.127)
Pt (0.417, 0.472, 0.484)
Pt (0.063, 0.074, 0.064)
Tl (0.830, 0.628, 0.725)
Tl (0.167, 0.333, 0.263)

Results
For the calculated density, the calculation gives 6801 kg/m³. Its crystal system is triclinic. The calculated total energy is -49.88 eV for the cell shown. The total magnetization is 0.00 μB/f.u. Its volume is 197.5 Å³ per cell.

# 6
DFT (PBE) results for crystalline Er2GaHPd6 at its relaxed geometry.

a b c (Å): 6.775 5.681 6.827
angles (deg): 65.41 49.25 90.00
Atoms (fractional coordinates):
Ga (0.000, 0.000, 0.000)
Pd (0.733, 0.769, 0.958)
Pd (0.268, 0.727, 0.042)
Pd (0.236, 0.271, 0.459)
Pd (0.732, 0.273, 0.958)
Pd (0.267, 0.231, 0.042)
Pd (0.764, 0.729, 0.541)
Er (0.721, 0.275, 0.451)
Er (0.279, 0.725, 0.549)
H (0.500, 0.500, 0.000)

Results
For the calculated density, the calculation gives 10421 kg/m³. Its crystal system is monoclinic. The calculated total energy is -53.99 eV for the cell shown. The total magnetization is 0.00 μB/f.u. Its volume is 166.3 Å³ per cell.

# 7
DFT (PBE) results for crystalline NaUPt2 at its relaxed geometry.

a b c (Å): 3.824 3.824 7.826
angles (deg): 75.86 75.86 60.00
Last column: magnetic moment on the atom in μB.
Atoms (fractional coordinates):
Pt (0.739, 0.739, 0.783)  -0.07
Pt (0.261, 0.261, 0.217)  -0.07
U (0.000, 0.000, 0.000)  1.23
Na (0.500, 0.500, 0.500)  0.00

Results
For the calculated density, the calculation gives 11375 kg/m³. Its crystal system is trigonal. The calculated total energy is -26.19 eV for the cell shown. The total magnetization is 1.15 μB/f.u. For the calculated formation energy, the calculation gives -0.375 eV/atom. Its volume is 95.1 Å³ per cell.

# 8
DFT (PBE) results for crystalline EuErPbAu at its relaxed geometry.

a b c (Å): 5.348 5.348 5.348
angles (deg): 60.00 60.00 60.00
Last column: magnetic moment on the atom in μB.
Atoms (fractional coordinates):
Eu (0.250, 0.250, 0.250)  -6.84
Er (0.750, 0.750, 0.750)  -0.07
Pb (0.500, 0.500, 0.500)  0.02
Au (0.000, 0.000, 0.000)  -0.01

Results
For the calculated density, the calculation gives 11107 kg/m³. Its crystal system is cubic. The calculated total energy is -24.34 eV for the cell shown. The total magnetization is 7.17 μB/f.u. For the calculated formation energy, the calculation gives -0.628 eV/atom. Its volume is 108.1 Å³ per cell.